Compound: LiCrO2
Source: the Alexandria database
Functional: PBE with a Hubbard U
Structure: optimized geometry

Geometry as POSCAR:
```
LiCrO2
1.0
4.3399 0.0000 0.0000
0.0000 4.3399 0.0000
2.1700 2.1700 4.8979
Cr O Li
2 4 2
direct
0.0000 0.0000 0.0000
0.7500 0.2500 0.5000
0.6454 0.1250 0.2500
0.1046 0.6250 0.2500
0.3750 0.3546 0.7500
0.8750 0.8954 0.7500
0.5000 0.5000 0.0000
0.2500 0.7500 0.5000
```

Output
**Excess energy over the best structure of this formula in the dataset**: 0.358 eV per atom